Entry 1:
A plane-wave DFT calculation with PBE-GGA was carried out for a geometry-optimized NpCdPt2 structure.

```
data_NpCdPt2
_chemical_formula_sum 'Np1 Cd1 Pt2'
_cell_length_a 3.302
_cell_length_b 3.302
_cell_length_c 7.153
_cell_angle_alpha 90.00
_cell_angle_beta 90.00
_cell_angle_gamma 90.00
_symmetry_space_group_name_H-M 'P 4/m m m'
_symmetry_Int_Tables_number 123
_symmetry_space_group_name_Hall '-P 4 2'
loop_
_atom_site_label
_atom_site_type_symbol
_atom_site_fract_x
_atom_site_fract_y
_atom_site_fract_z
Np1 Np 0.000 0.000 0.000
Cd1 Cd 0.000 0.000 0.500
Pt1 Pt 0.500 0.500 0.254
```

Entry 2:
A plane-wave DFT calculation with PBE-GGA was carried out for a geometry-optimized RbSr2Co structure.

```
data_RbSr2Co
_chemical_formula_sum 'Rb4 Sr8 Co4'
_cell_length_a 8.547
_cell_length_b 8.547
_cell_length_c 12.052
_cell_angle_alpha 90.00
_cell_angle_beta 90.00
_cell_angle_gamma 90.00
_symmetry_space_group_name_H-M 'I 41/a m d'
_symmetry_Int_Tables_number 141
loop_
_symmetry_equiv_pos_as_xyz
'x,y,z'
'-x,-y,-z'
'-y+1/4,x+3/4,z+1/4'
'y+1/4,-x+3/4,-z+1/4'
'-x+1/2,-y,z+1/2'
'x+1/2,y,-z+1/2'
'y+1/4,-x+1/4,z+3/4'
'-y+1/4,x+1/4,-z+3/4'
'x,-y,-z'
'-x,y,z'
'-y+1/4,-x+1/4,-z+3/4'
'y+1/4,x+1/4,z+3/4'
'-x+1/2,y,-z+1/2'
'x+1/2,-y,z+1/2'
'y+1/4,x+3/4,-z+1/4'
'-y+1/4,-x+3/4,z+1/4'
'x+1/2,y+1/2,z+1/2'
'-x+1/2,-y+1/2,-z+1/2'
'-y+3/4,x+1/4,z+3/4'
'y+3/4,-x+1/4,-z+3/4'
'-x,-y+1/2,z'
'x,y+1/2,-z'
'y+3/4,-x+3/4,z+1/4'
'-y+3/4,x+3/4,-z+1/4'
'x+1/2,-y+1/2,-z+1/2'
'-x+1/2,y+1/2,z+1/2'
'-y+3/4,-x+3/4,-z+1/4'
'y+3/4,x+3/4,z+1/4'
'-x,y+1/2,-z'
'x,-y+1/2,z'
'y+3/4,x+1/4,-z+3/4'
'-y+3/4,-x+1/4,z+3/4'
loop_
_atom_site_label
_atom_site_type_symbol
_atom_site_fract_x
_atom_site_fract_y
_atom_site_fract_z
Rb1 Rb 0.000 0.250 0.375
Sr1 Sr 0.000 0.000 0.000
Co1 Co 0.000 0.250 0.875
```

Summary:
* distance to the lowest polymorph of the same formula: 0.0 meV/atom

Entry 3:
A plane-wave DFT calculation with PBE-GGA was carried out for a geometry-optimized Rb2NiHgAs structure.

```
data_Rb2NiHgAs
_chemical_formula_sum 'Rb2 Ni1 Hg1 As1'
_cell_length_a 6.550
_cell_length_b 6.550
_cell_length_c 4.372
_cell_angle_alpha 90.00
_cell_angle_beta 90.00
_cell_angle_gamma 90.00
_symmetry_space_group_name_H-M 'P 4/m m m'
_symmetry_Int_Tables_number 123
_symmetry_space_group_name_Hall '-P 4 2'
loop_
_atom_site_label
_atom_site_type_symbol
_atom_site_fract_x
_atom_site_fract_y
_atom_site_fract_z
Rb1 Rb 0.000 0.500 0.000
Ni1 Ni 0.000 0.000 0.000
Hg1 Hg 0.500 0.500 0.500
As1 As 0.000 0.000 0.500
```

no.,energy of formation from the pure elements (kcal/mol of atoms)
1,-8.9
2,13.4
3,-3.4